[1]
TiNbFe2: optimized geometry, GGA-PBE.

The structure in POSCAR format:
```
TiNbFe2
1.0
-1.188 1.605 2.244
0.642 -3.261 2.672
7.764 3.087 1.902
Ti Nb Fe
2 2 4
Cartesian
6.398 2.703 3.463
0.820 -1.272 3.354
2.455 1.135 2.497
4.763 0.295 4.320
1.094 -0.444 0.897
7.311 0.270 3.677
5.088 1.144 1.875
3.317 -1.318 2.698
```

Output
Formation enthalpy at 0 K in meV/atom: -212
E in eV/atom: -8.935


[2]
Ti3NbFe: optimized geometry, GGA-PBE.

The structure in POSCAR format:
```
Ti3NbFe
1.0
-2.089 -4.141 2.264
3.899 2.759 4.580
-4.867 2.254 -0.370
Ti Nb Fe
6 2 2
Cartesian
-2.794 1.015 3.893
-0.473 2.741 3.452
-0.263 -0.143 2.581
-2.584 -1.870 3.023
1.954 1.616 3.636
-5.011 -0.744 2.838
-0.205 0.429 5.321
-2.852 0.443 1.153
0.000 0.000 0.000
-1.045 -2.070 1.132
```

Output
Formation enthalpy at 0 K in meV/atom: -89
E in eV/atom: -8.532


[3]
Ti2NbFe3: optimized geometry, GGA-PBE.

The structure in POSCAR format:
```
Ti2NbFe3
1.0
2.987 0.000 0.000
0.000 2.987 0.000
0.000 0.000 9.023
Ti Nb Fe
2 1 3
Cartesian
1.493 1.493 7.551
1.493 1.493 1.472
1.493 1.493 4.511
0.000 0.000 0.000
0.000 0.000 6.093
0.000 0.000 2.930
```

Output
Formation enthalpy at 0 K in meV/atom: -273
E in eV/atom: -8.814


[4]
Ti2NbFe4: optimized geometry, GGA-PBE.

The structure in POSCAR format:
```
Ti2NbFe4
1.0
-3.374 2.519 -1.180
-2.723 -3.370 0.593
-3.860 1.278 5.664
Nb Fe Ti
1 4 2
Cartesian
0.000 0.000 0.000
-6.421 -0.170 1.791
-3.536 0.598 3.286
-1.362 -1.685 0.296
-1.687 1.260 -0.590
-6.714 0.445 3.944
-3.243 -0.017 1.133
```

Output
Formation enthalpy at 0 K in meV/atom: 924
E in eV/atom: -7.606


[5]
Ti3NbFe4: optimized geometry, GGA-PBE.

The structure in POSCAR format:
```
Ti3NbFe4
1.0
-0.054 1.080 -2.769
-0.697 -2.696 -1.038
-11.690 2.552 1.222
Nb Fe Ti
1 4 3
Cartesian
-0.375 -0.808 -1.903
-10.132 2.212 1.059
-1.558 0.340 0.163
-4.415 0.964 0.462
-7.275 1.588 0.761
-3.347 -0.160 -1.593
-6.220 0.468 -1.292
-9.094 1.095 -0.992
```

Output
Formation enthalpy at 0 K in meV/atom: -307
E in eV/atom: -8.758


[6]
Ti4NbFe: optimized geometry, GGA-PBE.

The structure in POSCAR format:
```
Ti4NbFe
1.0
-4.150 -0.937 1.223
-2.144 -4.087 -2.397
-0.508 -4.388 2.924
Ti Nb Fe
4 1 1
Cartesian
-3.061 -3.666 2.825
-3.741 -5.746 -1.076
-3.919 -3.204 0.267
-2.883 -6.208 1.482
-1.326 -4.237 0.263
0.000 0.000 0.000
```

Output
Formation enthalpy at 0 K in meV/atom: -84
E in eV/atom: -8.436


[7]
Ti3NbFe: optimized geometry, GGA-PBE.

The structure in POSCAR format:
```
Ti3NbFe
1.0
-0.371 -4.217 1.379
4.282 0.022 1.218
-1.161 1.428 4.054
Nb Fe Ti
1 1 3
Cartesian
1.375 -1.383 3.326
0.000 0.000 0.000
2.141 0.011 0.609
-0.580 0.714 2.027
-0.185 -2.108 0.690
```

Output
Formation enthalpy at 0 K in meV/atom: 366
E in eV/atom: -8.078


[8]
TiNb2Fe: optimized geometry, GGA-PBE.

The structure in POSCAR format:
```
TiNb2Fe
1.0
3.118 0.000 0.000
0.000 3.118 0.000
0.000 0.000 6.567
Nb Fe Ti
2 1 1
Cartesian
0.000 0.000 5.046
0.000 0.000 1.521
1.559 1.559 0.000
1.559 1.559 3.284
```

Output
Formation enthalpy at 0 K in meV/atom: -37
E in eV/atom: -9.161


[9]
TiNb2Fe: optimized geometry, GGA-PBE.

The structure in POSCAR format:
```
TiNb2Fe
1.0
-1.145 -4.183 -0.830
2.703 -0.047 -3.491
4.099 0.021 5.959
Ti Nb Fe
2 4 2
Cartesian
1.476 -1.525 -0.235
4.180 -2.684 1.873
2.301 -3.660 -2.359
3.355 -0.549 3.997
1.477 -2.081 2.565
3.401 -0.013 1.234
1.740 -1.082 -2.825
-0.183 -3.148 -1.495
```

Output
Formation enthalpy at 0 K in meV/atom: -80
E in eV/atom: -9.204


[10]
TiNb2Fe: optimized geometry, GGA-PBE.

The structure in POSCAR format:
```
TiNb2Fe
1.0
-0.417 -7.100 0.418
3.986 0.113 5.905
-0.419 -3.277 4.645
Nb Fe Ti
4 2 2
Cartesian
0.116 -5.517 2.176
2.350 -1.361 4.888
0.869 -5.082 5.626
2.962 -8.567 9.244
0.000 0.000 0.000
0.474 -6.935 4.112
1.784 -3.494 3.161
2.675 -3.329 6.855
```

Output
Formation enthalpy at 0 K in meV/atom: 350
E in eV/atom: -8.774


[11]
Ti4NbFe: optimized geometry, GGA-PBE.

The structure in POSCAR format:
```
Ti4NbFe
1.0
-2.781 3.729 -3.013
-7.743 -3.667 2.610
5.159 2.379 3.280
Ti Nb Fe
8 2 2
Cartesian
-5.259 1.553 1.679
-1.367 0.226 3.947
-2.680 1.986 2.525
-1.522 3.323 0.420
-3.844 -0.882 2.457
-4.000 2.215 -1.070
-2.687 0.455 0.352
-0.107 0.888 1.198
1.189 3.054 0.133
2.579 1.190 1.640
-5.262 0.031 -0.202
-1.391 1.864 -1.507
```

Output
Formation enthalpy at 0 K in meV/atom: 139
E in eV/atom: -8.213


[12]
TiNb2Fe: optimized geometry, GGA-PBE.

The structure in POSCAR format:
```
TiNb2Fe
1.0
-2.512 1.736 0.809
-0.722 -2.671 3.490
2.602 2.590 2.521
Nb Fe Ti
2 1 1
Cartesian
1.301 1.295 1.260
-0.361 -1.336 1.745
-1.256 0.868 0.405
-0.316 0.828 3.410
```

Output
Formation enthalpy at 0 K in meV/atom: 21
E in eV/atom: -9.103


formation enthalpy at 0 K of number 3 (Ti2NbFe3)?
-273 meV/atom